Below is a geometry-optimized YTiBe2O structure, with properties calculated at the GGA-PBEsol level.

Cell: 4.6423 4.6423 3.7416 Å, 90.00 90.00 90.00°
Last column: nearest neighbours and their distance in Å.
Space group P4/mmm (No. 123)
Unique sites:
1 Y 0.0000 0.0000 0.0000  8 Be 2.98, 4 O 3.28
2 Ti 0.5000 0.5000 0.5000  2 O 1.87
3 Be 0.0000 0.5000 0.5000  2 Ti 2.32
4 O 0.5000 0.5000 0.0000  2 Ti 1.87

The value obtained for the calculated volume is 80.6 Å³ per cell. The density of states at the Fermi level comes out at 0.577 states/eV/atom. The formation energy from raw total energies is -1.321 eV per formula unit.

---

Below is a geometry-optimized Be3TlO structure, with properties calculated at the GGA-PBEsol level.

Cell: 4.4669 4.4669 4.4669 Å, 90.00 90.00 90.00°
Last column: nearest neighbours and their distance in Å.
Space group Pm-3m (No. 221)
Unique sites:
1 Be 0.0000 0.0000 0.5000  2 Tl 2.23
2 Tl 0.0000 0.0000 0.0000  6 Be 2.23
3 O 0.5000 0.5000 0.5000  12 Be 3.16

The value obtained for the calculated volume is 89.1 Å³ per cell. The density of states at the Fermi level comes out at 0.571 states/eV/atom. The formation energy from raw total energies is 6.743 eV per formula unit.

---

Below is a geometry-optimized YBeO3 structure, with properties calculated at the GGA-PBEsol level.

Cell: 3.5333 3.5333 3.5333 Å, 90.00 90.00 90.00°
Last column: nearest neighbours and their distance in Å.
Space group Pm-3m (No. 221)
Unique sites:
1 Y 0.0000 0.0000 0.0000  12 O 2.50
2 Be 0.5000 0.5000 0.5000  6 O 1.77
3 O 0.0000 0.5000 0.5000  2 Be 1.77

The value obtained for the calculated volume is 44.1 Å³ per cell. The density of states at the Fermi level comes out at 0.547 states/eV/atom. The formation energy from raw total energies is -12.747 eV per formula unit.